(1)
Compound: NaSr3Pb
Source: Alexandria
Functional: SCAN
Structure: single point on PBEsol structure

Properties
spin magnetization: 0.0 Bohr magnetons per cell
calculated total energy: -145.43 eV/f.u.

Structure (extended XYZ):
```
5
Lattice="6.078 0.000 0.000 0.000 6.078 0.000 0.000 0.000 6.078" Properties=species:S:1:pos:R:3 pbc="T T T"
Na 0.000 0.000 0.000
Sr 0.000 0.000 3.039
Sr 0.000 3.039 0.000
Sr 3.039 0.000 0.000
Pb 3.039 3.039 3.039
```

---

(2)
Compound: BeAl2Ru
Source: Alexandria
Functional: SCAN
Structure: single point on PBEsol structure

Properties
spin magnetization: 0.0 Bohr magnetons per cell
calculated total energy: -55.13 eV/f.u.

Structure (extended XYZ):
```
4
Lattice="1.395 0.805 7.996 -1.395 0.805 7.996 0.000 -1.611 7.996" Properties=species:S:1:pos:R:3 pbc="T T T"
Be 0.000 0.000 0.000
Al 0.000 0.000 5.990
Al 0.000 0.000 17.997
Ru 0.000 0.000 11.994
```

---

(3)
Compound: Ce3ZrO8
Source: Alexandria
Functional: SCAN
Structure: single point on PBEsol structure

Properties
raw formation energy: -3.735 eV/atom
spin magnetization: 0.0 Bohr magnetons per cell
relative energy among the computed polymorphs: 10 meV per atom
calculated total energy: -259.06 eV/f.u.

Structure (extended XYZ):
```
12
Lattice="3.752 0.000 0.000 0.000 3.752 0.000 0.000 0.000 10.665" Properties=species:S:1:pos:R:3 pbc="T T T"
Ce 0.000 0.000 0.000
Ce 1.876 1.876 2.726
Ce 1.876 1.876 7.938
Zr 0.000 0.000 5.332
O 0.000 1.876 1.367
O 0.000 1.876 4.093
O 0.000 1.876 6.572
O 0.000 1.876 9.298
O 1.876 0.000 1.367
O 1.876 0.000 4.093
O 1.876 0.000 6.572
O 1.876 0.000 9.298
```

---

(4)
Compound: RbFeMo2Os
Source: Alexandria
Functional: SCAN
Structure: single point on PBEsol structure

Properties
spin magnetization: 2.6 Bohr magnetons per cell
calculated total energy: -171.69 eV/f.u.

Structure (extended XYZ):
```
5
Lattice="4.600 0.000 0.000 0.000 4.600 0.000 0.000 0.000 4.559" Properties=species:S:1:pos:R:3 pbc="T T T"
Rb 0.000 0.000 0.000
Fe 2.300 2.300 2.280
Mo 0.000 2.300 2.280
Mo 2.300 0.000 2.280
Os 2.300 2.300 0.000
```

---

(5)
Compound: Mg5In
Source: Alexandria
Functional: SCAN
Structure: single point on PBEsol structure

Properties
spin magnetization: 0.0 Bohr magnetons per cell
calculated total energy: -58.65 eV/f.u.

Structure (extended XYZ):
```
6
Lattice="5.884 -1.569 0.000 5.884 1.569 0.000 -2.098 0.000 7.306" Properties=species:S:1:pos:R:3 pbc="T T T"
Mg 0.000 0.000 0.000
Mg -0.643 0.000 4.494
Mg 4.024 0.000 2.047
Mg 7.150 0.000 2.458
Mg 6.516 0.000 6.942
In 2.501 0.000 4.873
```

---

(6)
Compound: Zr2ReIr
Source: Alexandria
Functional: SCAN
Structure: single point on PBEsol structure

Properties
spin magnetization: 0.0 Bohr magnetons per cell
calculated total energy: -206.78 eV/f.u.

Structure (extended XYZ):
```
4
Lattice="3.282 0.000 0.000 0.000 3.282 0.000 0.000 0.000 6.435" Properties=species:S:1:pos:R:3 pbc="T T T"
Zr 0.000 0.000 1.591
Zr 0.000 0.000 4.844
Re 1.641 1.641 0.000
Ir 1.641 1.641 3.217
```

---

(7)
Compound: Ba2LiHg
Source: Alexandria
Functional: SCAN
Structure: single point on PBEsol structure

Properties
spin magnetization: 0.1 Bohr magnetons per cell
calculated total energy: -150.91 eV/f.u.

Structure (extended XYZ):
```
4
Lattice="6.304 -2.038 0.000 6.304 2.038 0.000 -2.169 0.000 5.466" Properties=species:S:1:pos:R:3 pbc="T T T"
Ba 0.000 0.000 0.000
Ba 1.063 0.000 3.565
Li 9.419 0.000 1.425
Hg 4.681 0.000 2.507
```

---

(8)
Compound: Dy4Ga12Fe
Source: Alexandria
Functional: SCAN
Structure: single point on PBEsol structure

Properties
spin magnetization: 1.7 Bohr magnetons per cell
calculated total energy: -415.88 eV/f.u.

Structure (extended XYZ):
```
17
Lattice="-4.215 4.215 4.215 4.215 -4.215 4.215 4.215 4.215 -4.215" Properties=species:S:1:pos:R:3 pbc="T T T"
Dy 2.108 2.108 -2.108
Dy 2.108 -2.108 2.108
Dy -2.108 2.108 2.108
Dy 2.108 2.108 2.108
Ga 2.397 0.000 0.000
Ga 6.034 0.000 0.000
Ga 4.215 2.108 0.000
Ga 4.215 0.000 2.108
Ga 0.000 2.397 0.000
Ga 0.000 0.000 2.397
Ga 2.108 4.215 0.000
Ga 2.108 0.000 4.215
Ga 0.000 6.034 0.000
Ga 0.000 0.000 6.034
Ga 0.000 4.215 2.108
Ga 0.000 2.108 4.215
Fe 0.000 0.000 0.000
```

---

(9)
Compound: P2HPtS
Source: Alexandria
Functional: SCAN
Structure: single point on PBEsol structure

Properties
spin magnetization: 0.6 Bohr magnetons per cell
calculated total energy: -97.80 eV/f.u.

Structure (extended XYZ):
```
5
Lattice="4.545 0.000 0.000 0.000 4.545 0.000 0.000 0.000 4.990" Properties=species:S:1:pos:R:3 pbc="T T T"
P 0.000 2.273 0.000
P 2.273 0.000 0.000
H 0.000 0.000 2.495
Pt 2.273 2.273 0.000
S 2.273 2.273 2.495
```

---

(10)
Compound: CaZrN2
Source: Alexandria
Functional: SCAN
Structure: single point on PBEsol structure

Properties
raw formation energy: -1.586 eV/atom
spin magnetization: 0.0 Bohr magnetons per cell
calculated total energy: -65.29 eV/f.u.

Structure (extended XYZ):
```
8
Lattice="-2.765 2.765 4.226 2.765 -2.765 4.226 2.765 2.765 -4.226" Properties=species:S:1:pos:R:3 pbc="T T T"
Ca 0.000 0.000 0.000
Ca 0.000 2.765 2.113
Zr 2.765 0.000 2.113
Zr 0.000 0.000 4.226
N 1.383 -1.122 3.169
N 1.643 1.383 1.056
N 1.383 3.888 -1.056
N 1.122 1.383 5.282
```

---

(11)
Compound: ZrInBr2
Source: Alexandria
Functional: SCAN
Structure: single point on PBEsol structure

Properties
raw formation energy: -0.791 eV/atom
spin magnetization: 0.0 Bohr magnetons per cell
relative energy among the computed polymorphs: 61 meV per atom
calculated total energy: -106.17 eV/f.u.

Structure (extended XYZ):
```
4
Lattice="6.474 -1.619 0.000 6.474 1.619 0.000 -1.516 0.000 5.238" Properties=species:S:1:pos:R:3 pbc="T T T"
Zr 0.000 0.000 0.000
In 5.716 0.000 2.619
Br 3.030 0.000 4.208
Br 8.402 0.000 1.031
```

---

(12)
Compound: CaMg2Ag
Source: Alexandria
Functional: SCAN
Structure: single point on PBEsol structure

Properties
spin magnetization: 0.0 Bohr magnetons per cell
calculated total energy: -50.92 eV/f.u.

Structure (extended XYZ):
```
4
Lattice="3.029 -5.392 0.000 3.029 5.392 0.000 -1.491 0.000 2.904" Properties=species:S:1:pos:R:3 pbc="T T T"
Ca 0.000 0.000 0.000
Mg 0.769 2.696 1.452
Mg 0.769 -2.696 1.452
Ag 3.029 0.000 0.000
```

---

(13)
Compound: Li2SiSe
Source: Alexandria
Functional: SCAN
Structure: single point on PBEsol structure

Properties
raw formation energy: -0.121 eV/atom
spin magnetization: 0.0 Bohr magnetons per cell
relative energy among the computed polymorphs: 251 meV per atom
calculated total energy: -35.36 eV/f.u.

Structure (extended XYZ):
```
4
Lattice="1.671 0.965 8.052 -1.671 0.965 8.052 0.000 -1.930 8.052" Properties=species:S:1:pos:R:3 pbc="T T T"
Li 0.000 0.000 0.000
Li 0.000 0.000 5.417
Si 0.000 0.000 11.481
Se 0.000 0.000 17.954
```

---

(14)
Compound: Cd2HgPb
Source: Alexandria
Functional: SCAN
Structure: single point on PBEsol structure

Properties
spin magnetization: 0.0 Bohr magnetons per cell
relative energy among the computed polymorphs: 43 meV per atom
calculated total energy: -204.42 eV/f.u.

Structure (extended XYZ):
```
4
Lattice="0.000 3.630 3.630 3.630 0.000 3.630 3.630 3.630 0.000" Properties=species:S:1:pos:R:3 pbc="T T T"
Cd 1.815 1.815 1.815
Cd 5.445 5.445 5.445
Hg 0.000 0.000 0.000
Pb 3.630 3.630 3.630
```

---

(15)
Compound: SrTl5
Source: Alexandria
Functional: SCAN
Structure: single point on PBEsol structure

Properties
spin magnetization: 0.0 Bohr magnetons per cell
relative energy among the computed polymorphs: 0 meV per atom
calculated total energy: -385.55 eV/f.u.

Structure (extended XYZ):
```
6
Lattice="2.470 -6.945 0.000 2.470 6.945 0.000 0.000 0.000 4.984" Properties=species:S:1:pos:R:3 pbc="T T T"
Sr 0.000 0.000 0.000
Tl 2.470 4.546 2.492
Tl 2.470 2.433 0.000
Tl 2.470 0.000 2.492
Tl 2.470 -2.433 0.000
Tl 2.470 -4.546 2.492
```

---

(16)
Compound: YBeAg2O
Source: Alexandria
Functional: SCAN
Structure: single point on PBEsol structure

Properties
raw formation energy: 1.741 eV/atom
spin magnetization: 1.6 Bohr magnetons per cell
calculated total energy: -92.46 eV/f.u.

Structure (extended XYZ):
```
5
Lattice="5.458 0.000 0.000 0.000 5.458 0.000 0.000 0.000 5.368" Properties=species:S:1:pos:R:3 pbc="T T T"
Y 0.000 0.000 0.000
Be 0.000 0.000 2.684
Ag 0.000 2.729 0.000
Ag 2.729 0.000 0.000
O 2.729 2.729 2.684
```

---

(17)
Compound: GaHg2BSe
Source: Alexandria
Functional: SCAN
Structure: single point on PBEsol structure

Properties
raw formation energy: 0.461 eV/atom
spin magnetization: 0.0 Bohr magnetons per cell
calculated total energy: -177.88 eV/f.u.

Structure (extended XYZ):
```
5
Lattice="4.388 0.000 0.000 0.000 4.388 0.000 0.000 0.000 5.383" Properties=species:S:1:pos:R:3 pbc="T T T"
Ga 0.000 0.000 0.000
Hg 0.000 2.194 2.691
Hg 2.194 0.000 2.691
B 2.194 2.194 2.691
Se 2.194 2.194 0.000
```

---

(18)
Compound: CdPbAu2
Source: Alexandria
Functional: SCAN
Structure: single point on PBEsol structure

Properties
spin magnetization: 0.0 Bohr magnetons per cell
calculated total energy: -244.73 eV/f.u.

Structure (extended XYZ):
```
4
Lattice="4.355 -1.707 0.000 4.355 1.707 0.000 -1.339 0.000 5.775" Properties=species:S:1:pos:R:3 pbc="T T T"
Cd 0.000 0.000 0.000
Pb 3.686 0.000 2.887
Au 1.177 0.000 4.521
Au 6.194 0.000 1.253
```

---

(19)
Compound: BaNa2Bi2
Source: Alexandria
Functional: SCAN
Structure: single point on PBEsol structure

Properties
spin magnetization: 0.0 Bohr magnetons per cell
relative energy among the computed polymorphs: 43 meV per atom
calculated total energy: -208.03 eV/f.u.

Structure (extended XYZ):
```
10
Lattice="9.432 0.000 0.000 0.000 9.432 0.000 0.000 0.000 3.444" Properties=species:S:1:pos:R:3 pbc="T T T"
Ba 0.000 0.000 0.000
Ba 4.716 4.716 0.000
Na 1.074 3.642 0.000
Na 3.642 8.358 0.000
Na 5.790 1.074 0.000
Na 8.358 5.790 0.000
Bi 1.721 6.437 1.722
Bi 2.995 1.721 1.722
Bi 6.437 7.711 1.722
Bi 7.711 2.995 1.722
```

---

(20)
Compound: RbOsIO2
Source: Alexandria
Functional: SCAN
Structure: single point on PBEsol structure

Properties
raw formation energy: 1.749 eV/atom
spin magnetization: 3.8 Bohr magnetons per cell
relative energy among the computed polymorphs: 2034 meV per atom
calculated total energy: -133.08 eV/f.u.

Structure (extended XYZ):
```
5
Lattice="4.119 0.000 0.000 0.000 4.119 0.000 0.000 0.000 6.665" Properties=species:S:1:pos:R:3 pbc="T T T"
Rb 0.000 0.000 0.000
Os 2.060 2.060 3.333
I 0.000 0.000 3.333
O 0.000 2.060 0.000
O 2.060 0.000 0.000
```